Ta2RhBr, optimized geometry, DFT PBE-GGA; space-group type = Pmmm, No. 47; excess energy over the best structure of this formula in the dataset = 0.491 eV per atom; uncorrected formation energy = 0.507 eV per atom
1.0
3.1475 0.0000 0.0000
0.0000 4.6774 0.0000
0.0000 0.0000 4.7484
Rh Br Ta
1 1 2
direct
0.0000 0.5000 0.5000
0.5000 0.0000 0.5000
0.0000 0.0000 0.0000
0.5000 0.5000 0.0000